(1)
VASP calculation (PBE) on a geometry-optimized SiIrI structure. Values from VASP.

Computed properties:
**Total DFT energy (no corrections)**: -62.4 eV per cell
**Crystal system**: orthorhombic

The structure in Quantum ESPRESSO input format:
```
&SYSTEM
  ibrav = 0, nat = 12, ntyp = 3
/
ATOMIC_SPECIES
Si 28.09 Si.upf
Ir 192.22 Ir.upf
I 126.90 I.upf
ATOMIC_POSITIONS crystal
Si 0.3754 0.6246 0.6170
Si 0.6246 0.3754 0.3830
Si 0.6330 0.8670 0.8746
Si 0.8670 0.6330 0.6254
Ir 0.3402 0.6582 0.3346
Ir 0.5830 0.9154 0.5918
Ir 0.6582 0.3402 0.6670
Ir 0.9154 0.5830 0.9098
I 0.1022 0.2051 0.5627
I 0.1200 0.6873 0.0449
I 0.2051 0.1022 0.1300
I 0.6873 0.1200 0.1478
CELL_PARAMETERS angstrom
0.0000 6.2445 3.5700
5.5641 0.0000 3.5700
5.5641 6.2445 0.0000
```

---

(2)
VASP calculation (PBE) on a geometry-optimized Sm3Ga7Pt4 structure. Values from VASP.

Computed properties:
**Total DFT energy (no corrections)**: -72.0 eV per cell
**Crystal system**: monoclinic
**Energy of formation**: -0.89 eV/atom

The structure in Quantum ESPRESSO input format:
```
&SYSTEM
  ibrav = 0, nat = 14, ntyp = 3
/
ATOMIC_SPECIES
Sm 150.36 Sm.upf
Ga 69.72 Ga.upf
Pt 195.08 Pt.upf
ATOMIC_POSITIONS crystal
Sm 0.0000 0.0000 0.0000
Sm 0.3100 0.3100 0.3052
Sm 0.6900 0.6900 0.6948
Ga 0.0000 0.0000 0.5000
Ga 0.1568 0.1568 0.4296
Ga 0.3208 0.3208 0.9640
Ga 0.4984 0.4984 0.2874
Ga 0.5016 0.5016 0.7126
Ga 0.6792 0.6792 0.0360
Ga 0.8432 0.8432 0.5704
Pt 0.1246 0.1246 0.8546
Pt 0.3446 0.3446 0.7160
Pt 0.6554 0.6554 0.2840
Pt 0.8754 0.8754 0.1454
CELL_PARAMETERS angstrom
8.0003 -2.1762 0.0000
8.0003 2.1762 0.0000
-5.3671 0.0000 7.6784
```

---

(3)
VASP calculation (PBE) on a geometry-optimized SrTmTe2O8 structure. Values from VASP.

Computed properties:
**Total DFT energy (no corrections)**: -73.1 eV per cell
**Crystal system**: trigonal

The structure in Quantum ESPRESSO input format:
```
&SYSTEM
  ibrav = 0, nat = 12, ntyp = 4
/
ATOMIC_SPECIES
Sr 87.62 Sr.upf
Tm 168.93 Tm.upf
Te 127.60 Te.upf
O 16.00 O.upf
ATOMIC_POSITIONS crystal
Sr 0.0000 0.0000 0.0000
Tm 0.0000 0.0000 0.5000
Te 0.3333 0.6667 0.7752
Te 0.6667 0.3333 0.2248
O 0.1555 0.3134 0.7073
O 0.1579 0.8445 0.7073
O 0.3134 0.1579 0.2927
O 0.3333 0.6667 0.0290
O 0.6667 0.3333 0.9710
O 0.6866 0.8421 0.7073
O 0.8421 0.1555 0.2927
O 0.8445 0.6866 0.2927
CELL_PARAMETERS angstrom
6.0123 0.0000 0.0000
-3.0061 5.2068 0.0000
0.0000 0.0000 7.2231
```

---

(4)
VASP calculation (PBE) on a geometry-optimized TaZn2PO structure. Values from VASP.

Computed properties:
**Distance to the lowest polymorph of the same formula**: 0 meV per atom
**Total DFT energy (no corrections)**: -24.8 eV per cell
**Crystal system**: tetragonal

The structure in Quantum ESPRESSO input format:
```
&SYSTEM
  ibrav = 0, nat = 5, ntyp = 4
/
ATOMIC_SPECIES
Ta 180.95 Ta.upf
Zn 65.41 Zn.upf
P 30.97 P.upf
O 16.00 O.upf
ATOMIC_POSITIONS crystal
Ta 0.0000 0.0000 0.0000
Zn 0.0000 0.5000 0.5000
Zn 0.5000 0.0000 0.5000
P 0.5000 0.5000 0.0000
O 0.0000 0.0000 0.5000
CELL_PARAMETERS angstrom
4.2206 0.0000 0.0000
0.0000 4.2206 0.0000
0.0000 0.0000 4.1652
```

---

(5)
VASP calculation (PBE) on a geometry-optimized Cs2Pm2NpS6 structure. Values from VASP.

Computed properties:
**Total DFT energy (no corrections)**: -67.5 eV per cell
**Crystal system**: monoclinic

The structure in Quantum ESPRESSO input format:
```
&SYSTEM
  ibrav = 0, nat = 11, ntyp = 4
/
ATOMIC_SPECIES
Cs 132.91 Cs.upf
Pm 145.00 Pm.upf
Np 237.00 Np.upf
S 32.06 S.upf
ATOMIC_POSITIONS crystal
Cs 0.1698 0.8302 0.0000
Cs 0.8302 0.1698 0.0000
Pm 0.3337 0.6663 0.5000
Pm 0.6663 0.3337 0.5000
Np 0.0000 0.0000 0.5000
S 0.0594 0.3816 0.6781
S 0.2572 0.2572 0.3222
S 0.3816 0.0594 0.6781
S 0.6184 0.9406 0.3219
S 0.7428 0.7428 0.6778
S 0.9406 0.6184 0.3219
CELL_PARAMETERS angstrom
3.5833 -6.1791 0.0000
3.5833 6.1791 0.0000
-2.4505 0.0000 8.2461
```

---

(6)
VASP calculation (PBE) on a geometry-optimized SmDy7Y4 structure. Values from VASP.

Computed properties:
**Total DFT energy (no corrections)**: -59.5 eV per cell
**Crystal system**: monoclinic
**Energy of formation**: 0.27 eV/atom

The structure in Quantum ESPRESSO input format:
```
&SYSTEM
  ibrav = 0, nat = 12, ntyp = 3
/
ATOMIC_SPECIES
Sm 150.36 Sm.upf
Dy 162.50 Dy.upf
Y 88.91 Y.upf
ATOMIC_POSITIONS crystal
Sm 0.0000 0.0000 0.0000
Dy 0.1315 0.1315 0.4988
Dy 0.2627 0.2627 0.3246
Dy 0.2874 0.2874 0.0769
Dy 0.5000 0.5000 0.0000
Dy 0.7126 0.7126 0.9231
Dy 0.7373 0.7373 0.6754
Dy 0.8685 0.8685 0.5012
Y 0.1416 0.1416 0.7755
Y 0.4360 0.4360 0.6819
Y 0.5640 0.5640 0.3181
Y 0.8584 0.8584 0.2245
CELL_PARAMETERS angstrom
6.0151 -2.9426 0.0000
6.0151 2.9426 0.0000
-6.0112 0.0000 11.1915
```

---

(7)
VASP calculation (PBE) on a geometry-optimized CrNi4H structure. Values from VASP.

Computed properties:
**Total DFT energy (no corrections)**: -71.9 eV per cell
**Crystal system**: monoclinic

The structure in Quantum ESPRESSO input format:
```
&SYSTEM
  ibrav = 0, nat = 12, ntyp = 3
/
ATOMIC_SPECIES
Cr 52.00 Cr.upf
Ni 58.69 Ni.upf
H 1.01 H.upf
ATOMIC_POSITIONS crystal
Cr 0.0764 0.9236 0.7500
Cr 0.9236 0.0764 0.2500
Ni 0.1176 0.2747 0.6504
Ni 0.2747 0.1176 0.1504
Ni 0.3270 0.4811 0.0528
Ni 0.4811 0.3270 0.5528
Ni 0.5189 0.6730 0.4472
Ni 0.6730 0.5189 0.9472
Ni 0.7253 0.8824 0.8496
Ni 0.8824 0.7253 0.3496
H 0.0000 0.5000 0.0000
H 0.5000 0.0000 0.5000
CELL_PARAMETERS angstrom
5.6283 -2.1669 0.0000
5.6283 2.1669 0.0000
-1.2686 0.0000 4.6592
```

---

(8)
VASP calculation (PBE) on a geometry-optimized TbNpOsRh structure. Values from VASP.

Computed properties:
**Total DFT energy (no corrections)**: -37.1 eV per cell
**Crystal system**: cubic
**Energy of formation**: -0.23 eV/atom

The structure in Quantum ESPRESSO input format:
```
&SYSTEM
  ibrav = 0, nat = 4, ntyp = 4
/
ATOMIC_SPECIES
Tb 158.93 Tb.upf
Np 237.00 Np.upf
Os 190.23 Os.upf
Rh 102.91 Rh.upf
ATOMIC_POSITIONS crystal
Tb 0.0000 0.0000 0.0000
Np 0.5000 0.5000 0.5000
Os 0.7500 0.7500 0.7500
Rh 0.2500 0.2500 0.2500
CELL_PARAMETERS angstrom
0.0000 3.4104 3.4104
3.4104 0.0000 3.4104
3.4104 3.4104 0.0000
```

---

(9)
VASP calculation (PBE) on a geometry-optimized TcHgC2Se structure. Values from VASP.

Computed properties:
**Distance to the lowest polymorph of the same formula**: 598 meV per atom
**Total DFT energy (no corrections)**: -17.5 eV per cell
**Crystal system**: tetragonal

The structure in Quantum ESPRESSO input format:
```
&SYSTEM
  ibrav = 0, nat = 5, ntyp = 4
/
ATOMIC_SPECIES
Tc 98.00 Tc.upf
Hg 200.59 Hg.upf
C 12.01 C.upf
Se 78.96 Se.upf
ATOMIC_POSITIONS crystal
Tc 0.0000 0.0000 0.0000
Hg 0.5000 0.5000 0.5000
C 0.0000 0.5000 0.5000
C 0.5000 0.0000 0.5000
Se 0.5000 0.5000 0.0000
CELL_PARAMETERS angstrom
4.0444 0.0000 0.0000
0.0000 4.0444 0.0000
0.0000 0.0000 5.7117
```

---

(10)
VASP calculation (PBE) on a geometry-optimized RbSr3Pt structure. Values from VASP.

Computed properties:
**Distance to the lowest polymorph of the same formula**: 0 meV per atom
**Total DFT energy (no corrections)**: -13.9 eV per cell
**Crystal system**: cubic
**Energy of formation**: -0.37 eV/atom

The structure in Quantum ESPRESSO input format:
```
&SYSTEM
  ibrav = 0, nat = 5, ntyp = 3
/
ATOMIC_SPECIES
Rb 85.47 Rb.upf
Sr 87.62 Sr.upf
Pt 195.08 Pt.upf
ATOMIC_POSITIONS crystal
Rb 0.0000 0.0000 0.0000
Sr 0.0000 0.5000 0.5000
Sr 0.5000 0.0000 0.5000
Sr 0.5000 0.5000 0.0000
Pt 0.5000 0.5000 0.5000
CELL_PARAMETERS angstrom
6.1500 0.0000 0.0000
0.0000 6.1500 0.0000
0.0000 0.0000 6.1500
```

---

(11)
VASP calculation (PBE) on a geometry-optimized AgBiH structure. Values from VASP.

Computed properties:
**Distance to the lowest polymorph of the same formula**: 110 meV per atom
**Total DFT energy (no corrections)**: -37.2 eV per cell
**Crystal system**: monoclinic

The structure in Quantum ESPRESSO input format:
```
&SYSTEM
  ibrav = 0, nat = 12, ntyp = 3
/
ATOMIC_SPECIES
Ag 107.87 Ag.upf
Bi 208.98 Bi.upf
H 1.01 H.upf
ATOMIC_POSITIONS crystal
Ag 0.0015 0.2500 0.0000
Ag 0.0015 0.2500 0.5000
Ag 0.9985 0.7500 0.0000
Ag 0.9985 0.7500 0.5000
Bi 0.1472 0.0003 0.2500
Bi 0.1472 0.4997 0.7500
Bi 0.8528 0.9997 0.7500
Bi 0.8528 0.5003 0.2500
H 0.4985 0.7500 0.0000
H 0.4985 0.7500 0.5000
H 0.5015 0.2500 0.0000
H 0.5015 0.2500 0.5000
CELL_PARAMETERS angstrom
3.5067 0.0000 0.0000
0.0000 6.2393 0.0000
-0.0108 0.0000 10.5517
```

---

(12)
VASP calculation (PBE) on a geometry-optimized LiErCdCu structure. Values from VASP.

Computed properties:
**Total DFT energy (no corrections)**: -12.2 eV per cell
**Crystal system**: cubic
**Energy of formation**: -0.17 eV/atom

The structure in Quantum ESPRESSO input format:
```
&SYSTEM
  ibrav = 0, nat = 4, ntyp = 4
/
ATOMIC_SPECIES
Li 6.94 Li.upf
Er 167.26 Er.upf
Cd 112.41 Cd.upf
Cu 63.55 Cu.upf
ATOMIC_POSITIONS crystal
Li 0.0000 0.0000 0.0000
Er 0.7500 0.7500 0.7500
Cd 0.2500 0.2500 0.2500
Cu 0.5000 0.5000 0.5000
CELL_PARAMETERS angstrom
0.0000 3.3407 3.3407
3.3407 0.0000 3.3407
3.3407 3.3407 0.0000
```

---

(13)
VASP calculation (PBE) on a geometry-optimized Li2UCu2Se4 structure. Values from VASP.

Computed properties:
**Total DFT energy (no corrections)**: -44.9 eV per cell
**Crystal system**: monoclinic

The structure in Quantum ESPRESSO input format:
```
&SYSTEM
  ibrav = 0, nat = 9, ntyp = 4
/
ATOMIC_SPECIES
Li 6.94 Li.upf
U 238.03 U.upf
Cu 63.55 Cu.upf
Se 78.96 Se.upf
ATOMIC_POSITIONS crystal
Li 0.1321 0.1321 0.0738
Li 0.8679 0.8679 0.9262
U 0.0000 0.0000 0.5000
Cu 0.3187 0.3187 0.5195
Cu 0.6813 0.6813 0.4805
Se 0.2258 0.2258 0.7196
Se 0.4907 0.4907 0.2210
Se 0.5093 0.5093 0.7790
Se 0.7742 0.7742 0.2804
CELL_PARAMETERS angstrom
7.3293 -1.9527 0.0000
7.3293 1.9527 0.0000
-3.9653 0.0000 6.5270
```

---

(14)
VASP calculation (PBE) on a geometry-optimized SiNO2 structure. Values from VASP.

Computed properties:
**Distance to the lowest polymorph of the same formula**: 2926 meV per atom
**Total DFT energy (no corrections)**: -19.3 eV per cell
**Crystal system**: cubic

The structure in Quantum ESPRESSO input format:
```
&SYSTEM
  ibrav = 0, nat = 4, ntyp = 3
/
ATOMIC_SPECIES
Si 28.09 Si.upf
N 14.01 N.upf
O 16.00 O.upf
ATOMIC_POSITIONS crystal
Si 0.0000 0.0000 0.0000
N 0.5000 0.5000 0.5000
O 0.2500 0.2500 0.2500
O 0.7500 0.7500 0.7500
CELL_PARAMETERS angstrom
0.0000 2.5425 2.5425
2.5425 0.0000 2.5425
2.5425 2.5425 0.0000
```

---

(15)
VASP calculation (PBE) on a geometry-optimized Ce2TiIr structure. Values from VASP.

Computed properties:
**Total DFT energy (no corrections)**: -28.3 eV per cell
**Crystal system**: trigonal
**Energy of formation**: 0.08 eV/atom

The structure in Quantum ESPRESSO input format:
```
&SYSTEM
  ibrav = 0, nat = 4, ntyp = 3
/
ATOMIC_SPECIES
Ce 140.12 Ce.upf
Ti 47.87 Ti.upf
Ir 192.22 Ir.upf
ATOMIC_POSITIONS crystal
Ce 0.0873 0.0873 0.0873
Ce 0.9127 0.9127 0.9127
Ti 0.0000 0.0000 0.0000
Ir 0.5000 0.5000 0.5000
CELL_PARAMETERS angstrom
1.4681 0.8476 10.5433
-1.4681 0.8476 10.5433
0.0000 -1.6952 10.5433
```

---

(16)
VASP calculation (PBE) on a geometry-optimized K2PmReN4 structure. Values from VASP.

Computed properties:
**Total DFT energy (no corrections)**: -57.5 eV per cell
**Crystal system**: tetragonal

The structure in Quantum ESPRESSO input format:
```
&SYSTEM
  ibrav = 0, nat = 8, ntyp = 4
/
ATOMIC_SPECIES
K 39.10 K.upf
Pm 145.00 Pm.upf
Re 186.21 Re.upf
N 14.01 N.upf
ATOMIC_POSITIONS crystal
K 0.0000 0.0000 0.0000
K 0.7500 0.2500 0.5000
Pm 0.5000 0.5000 0.0000
Re 0.2500 0.7500 0.5000
N 0.2225 0.6524 0.1490
N 0.3476 0.4966 0.5701
N 0.5034 0.0735 0.8510
N 0.9265 0.7775 0.4299
CELL_PARAMETERS angstrom
-3.0066 3.0066 4.5655
3.0066 -3.0066 4.5655
3.0066 3.0066 -4.5655
```

---

(17)
VASP calculation (PBE) on a geometry-optimized Rb2SnF structure. Values from VASP.

Computed properties:
**Distance to the lowest polymorph of the same formula**: 359 meV per atom
**Total DFT energy (no corrections)**: -10.6 eV per cell
**Crystal system**: cubic

The structure in Quantum ESPRESSO input format:
```
&SYSTEM
  ibrav = 0, nat = 4, ntyp = 3
/
ATOMIC_SPECIES
Rb 85.47 Rb.upf
Sn 118.71 Sn.upf
F 19.00 F.upf
ATOMIC_POSITIONS crystal
Rb 0.2500 0.2500 0.2500
Rb 0.7500 0.7500 0.7500
Sn 0.0000 0.0000 0.0000
F 0.5000 0.5000 0.5000
CELL_PARAMETERS angstrom
0.0000 4.2943 4.2943
4.2943 0.0000 4.2943
4.2943 4.2943 0.0000
```

---

(18)
VASP calculation (PBE) on a geometry-optimized Fe2IrOs structure. Values from VASP.

Computed properties:
**Total DFT energy (no corrections)**: -36.7 eV per cell
**Crystal system**: tetragonal
**Energy of formation**: 0.07 eV/atom

The structure in Quantum ESPRESSO input format:
```
&SYSTEM
  ibrav = 0, nat = 4, ntyp = 3
/
ATOMIC_SPECIES
Fe 55.84 Fe.upf
Ir 192.22 Ir.upf
Os 190.23 Os.upf
ATOMIC_POSITIONS crystal
Fe 0.0000 0.0000 0.2476
Fe 0.0000 0.0000 0.7524
Ir 0.5000 0.5000 0.5000
Os 0.5000 0.5000 0.0000
CELL_PARAMETERS angstrom
2.6646 0.0000 0.0000
0.0000 2.6646 0.0000
0.0000 0.0000 7.3060
```

---

(19)
VASP calculation (PBE) on a geometry-optimized Ac4La2Sn3N2 structure. Values from VASP.

Computed properties:
**Total DFT energy (no corrections)**: -64.5 eV per cell
**Crystal system**: tetragonal

The structure in Quantum ESPRESSO input format:
```
&SYSTEM
  ibrav = 0, nat = 11, ntyp = 4
/
ATOMIC_SPECIES
Ac 227.00 Ac.upf
La 138.91 La.upf
Sn 118.71 Sn.upf
N 14.01 N.upf
ATOMIC_POSITIONS crystal
Ac 0.0870 0.5870 0.5000
Ac 0.4130 0.9130 0.5000
Ac 0.5870 0.0870 0.5000
Ac 0.9130 0.4130 0.5000
La 0.1958 0.1958 0.0000
La 0.8042 0.8042 0.0000
Sn 0.3231 0.3231 0.0000
Sn 0.5000 0.5000 0.0000
Sn 0.6769 0.6769 0.0000
N 0.1098 0.1098 0.0000
N 0.8902 0.8902 0.0000
CELL_PARAMETERS angstrom
-2.5894 2.5894 13.3902
2.5894 -2.5894 13.3902
2.5894 2.5894 -13.3902
```

---

(20)
VASP calculation (PBE) on a geometry-optimized Cd3Se structure. Values from VASP.

Computed properties:
**Total DFT energy (no corrections)**: -4.6 eV per cell
**Crystal system**: cubic

The structure in Quantum ESPRESSO input format:
```
&SYSTEM
  ibrav = 0, nat = 4, ntyp = 2
/
ATOMIC_SPECIES
Cd 112.41 Cd.upf
Se 78.96 Se.upf
ATOMIC_POSITIONS crystal
Cd 0.0000 0.0000 0.5000
Cd 0.0000 0.5000 0.0000
Cd 0.5000 0.0000 0.0000
Se 0.0000 0.0000 0.0000
CELL_PARAMETERS angstrom
5.8202 0.0000 0.0000
0.0000 5.8202 0.0000
0.0000 0.0000 5.8202
```